# 1
{"formula": "ZrTaFe10", "functional": "PBE-GGA", "state": "optimized geometry", "m_tot_mub_per_fu": 17.05, "delta_e_f_ev_per_atom": -0.001, "dft_energy_ev_per_atom": -8.753, "space_group": "No. 47", "lattice": [[3.985, 0.000, 0.000], [0.000, 4.762, 0.000], [0.000, 0.000, 8.204]], "species": ["Ta", "Fe", "Fe", "Fe", "Fe", "Fe", "Fe", "Fe", "Fe", "Fe", "Fe", "Zr"], "frac_coords": [[0.000, 0.500, 0.500], [0.000, 0.000, 0.339], [0.500, 0.748, 0.255], [0.500, 0.252, 0.745], [0.500, 0.252, 0.255], [0.000, 0.500, 0.174], [0.500, 0.000, 0.500], [0.500, 0.500, 0.000], [0.000, 0.000, 0.661], [0.500, 0.748, 0.745], [0.000, 0.500, 0.826], [0.000, 0.000, 0.000]]}

# 2
{"formula": "Zr2TaFe", "functional": "PBE-GGA", "state": "optimized geometry", "m_tot_mub_per_fu": 0.19, "e_above_lowest_polymorph_mev_per_atom": 61, "delta_e_f_ev_per_atom": 0.019, "dft_energy_ev_per_atom": -9.334, "space_group": "No. 44", "lattice": [[-3.967, -0.153, 3.870], [-1.122, -0.298, 5.421], [-0.969, 4.184, 2.167]], "species": ["Zr", "Zr", "Fe", "Ta"], "frac_coords": [[0.997, 0.997, 0.003], [0.774, 0.774, 0.726], [0.509, 0.509, 0.491], [0.219, 0.219, 0.281]]}

# 3
{"formula": "Zr2TaFe2", "functional": "PBE-GGA", "state": "optimized geometry", "m_tot_mub_per_fu": 0.51, "delta_e_f_ev_per_atom": -0.066, "dft_energy_ev_per_atom": -9.241, "space_group": "No. 127", "lattice": [[6.336, 0.000, 0.000], [0.000, 6.336, 0.000], [0.000, 0.000, 4.304]], "species": ["Ta", "Ta", "Fe", "Fe", "Fe", "Fe", "Zr", "Zr", "Zr", "Zr"], "frac_coords": [[0.000, 0.000, 0.000], [0.500, 0.500, 0.000], [0.376, 0.876, 0.000], [0.124, 0.376, 0.000], [0.624, 0.124, 0.000], [0.876, 0.624, 0.000], [0.183, 0.683, 0.500], [0.817, 0.317, 0.500], [0.317, 0.183, 0.500], [0.683, 0.817, 0.500]]}

# 4
{"formula": "Zr3TaFe", "functional": "PBE-GGA", "state": "optimized geometry", "m_tot_mub_per_fu": 0.00, "e_above_lowest_polymorph_mev_per_atom": 0, "delta_e_f_ev_per_atom": 0.529, "dft_energy_ev_per_atom": -8.663, "space_group": "No. 221", "lattice": [[-1.409, 3.456, 2.975], [-4.505, -1.535, -0.351], [0.702, -2.912, 3.716]], "species": ["Zr", "Zr", "Zr", "Fe", "Ta"], "frac_coords": [[0.000, 0.500, 0.000], [0.000, 0.000, 0.500], [0.500, 0.000, 0.000], [0.000, 0.000, 0.000], [0.500, 0.500, 0.500]]}

# 5
{"formula": "Zr2TaFe", "functional": "PBE-GGA", "state": "optimized geometry", "m_tot_mub_per_fu": 0.42, "e_above_lowest_polymorph_mev_per_atom": 52, "delta_e_f_ev_per_atom": 0.010, "dft_energy_ev_per_atom": -9.343, "space_group": "No. 47", "lattice": [[3.219, 0.000, 0.000], [0.000, 3.181, 0.425], [0.000, 2.234, 7.468]], "species": ["Ta", "Zr", "Zr", "Fe"], "frac_coords": [[0.500, 0.750, 0.750], [0.000, 0.528, 0.472], [0.000, 0.972, 0.028], [0.500, 0.250, 0.250]]}

# 6
{"formula": "ZrTa3Fe8", "functional": "PBE-GGA", "state": "optimized geometry", "m_tot_mub_per_fu": 11.25, "delta_e_f_ev_per_atom": -0.209, "dft_energy_ev_per_atom": -9.526, "space_group": "No. 160", "lattice": [[4.646, 0.000, 1.403], [2.112, 4.139, 1.403], [-0.003, -0.002, 8.406]], "species": ["Fe", "Fe", "Fe", "Fe", "Fe", "Fe", "Fe", "Fe", "Zr", "Ta", "Ta", "Ta"], "frac_coords": [[0.688, 0.688, 0.936], [0.937, 0.937, 0.690], [0.937, 0.435, 0.690], [0.939, 0.439, 0.184], [0.439, 0.439, 0.184], [0.187, 0.187, 0.439], [0.435, 0.937, 0.690], [0.439, 0.939, 0.184], [0.875, 0.875, 0.374], [0.498, 0.498, 0.507], [0.002, 0.002, 0.995], [0.375, 0.375, 0.876]]}

# 7
{"formula": "ZrTaFe", "functional": "PBE-GGA", "state": "optimized geometry", "m_tot_mub_per_fu": 0.00, "e_above_lowest_polymorph_mev_per_atom": 58, "delta_e_f_ev_per_atom": -0.103, "dft_energy_ev_per_atom": -9.724, "space_group": "No. 12", "lattice": [[4.213, 0.000, 0.000], [0.000, 9.881, 1.483], [-2.106, 0.294, 5.083]], "species": ["Ta", "Ta", "Ta", "Ta", "Fe", "Fe", "Fe", "Fe", "Zr", "Zr", "Zr", "Zr"], "frac_coords": [[0.862, 0.963, 0.724], [0.138, 0.037, 0.276], [0.215, 0.615, 0.430], [0.785, 0.385, 0.570], [0.323, 0.838, 0.646], [0.406, 0.426, 0.813], [0.677, 0.162, 0.354], [0.594, 0.574, 0.187], [0.089, 0.349, 0.178], [0.911, 0.651, 0.822], [0.414, 0.159, 0.828], [0.586, 0.841, 0.172]]}

# 8
{"formula": "ZrTa2Fe9", "functional": "PBE-GGA", "state": "optimized geometry", "m_tot_mub_per_fu": 14.65, "delta_e_f_ev_per_atom": -0.170, "dft_energy_ev_per_atom": -9.205, "space_group": "No. 166", "lattice": [[4.625, 0.000, 1.377], [2.108, 4.117, 1.377], [0.040, 0.024, 8.326]], "species": ["Fe", "Fe", "Fe", "Fe", "Fe", "Fe", "Fe", "Fe", "Fe", "Zr", "Ta", "Ta"], "frac_coords": [[0.667, 0.667, 0.000], [0.588, 0.588, 0.742], [0.919, 0.412, 0.258], [0.500, 0.500, 0.500], [0.412, 0.919, 0.258], [0.412, 0.412, 0.258], [0.588, 0.081, 0.742], [0.333, 0.333, 0.000], [0.081, 0.588, 0.742], [0.000, 0.000, 0.000], [0.858, 0.858, 0.427], [0.142, 0.142, 0.573]]}

# 9
{"formula": "Zr3TaFe", "functional": "PBE-GGA", "state": "optimized geometry", "m_tot_mub_per_fu": 0.09, "e_above_lowest_polymorph_mev_per_atom": 1012, "delta_e_f_ev_per_atom": 1.541, "dft_energy_ev_per_atom": -7.651, "space_group": "No. 221", "lattice": [[5.059, 0.000, 0.000], [0.000, 5.059, 0.000], [0.000, 0.000, 5.059]], "species": ["Ta", "Zr", "Zr", "Zr", "Fe"], "frac_coords": [[0.000, 0.000, 0.000], [0.000, 0.500, 0.000], [0.500, 0.000, 0.000], [0.000, 0.000, 0.500], [0.500, 0.500, 0.500]]}

# 10
{"formula": "ZrTaFe", "functional": "PBE-GGA", "state": "optimized geometry", "m_tot_mub_per_fu": 0.53, "e_above_lowest_polymorph_mev_per_atom": 321, "delta_e_f_ev_per_atom": 0.161, "dft_energy_ev_per_atom": -9.460, "space_group": "No. 156", "lattice": [[4.361, 0.000, 0.000], [-2.180, 3.776, 0.000], [0.000, 0.000, 3.140]], "species": ["Zr", "Fe", "Ta"], "frac_coords": [[0.333, 0.667, 0.698], [0.000, 0.000, 0.028], [0.667, 0.333, 0.274]]}

# 11
{"formula": "Zr2TaFe", "functional": "PBE-GGA", "state": "optimized geometry", "m_tot_mub_per_fu": 0.96, "e_above_lowest_polymorph_mev_per_atom": 255, "delta_e_f_ev_per_atom": 0.212, "dft_energy_ev_per_atom": -9.141, "space_group": "No. 166", "lattice": [[-3.716, -1.301, -8.159], [-5.868, -2.692, -6.355], [-5.967, 0.407, -6.804]], "species": ["Zr", "Zr", "Ta", "Fe"], "frac_coords": [[0.509, 0.509, 0.509], [0.991, 0.991, 0.991], [0.750, 0.750, 0.750], [0.250, 0.250, 0.250]]}

# 12
{"formula": "Zr2TaFe", "functional": "PBE-GGA", "state": "optimized geometry", "m_tot_mub_per_fu": 0.25, "e_above_lowest_polymorph_mev_per_atom": 148, "delta_e_f_ev_per_atom": 0.106, "dft_energy_ev_per_atom": -9.247, "space_group": "No. 71", "lattice": [[-0.582, 2.290, 4.936], [-3.509, 1.171, 4.033], [-0.005, -3.019, 3.759]], "species": ["Ta", "Fe", "Zr", "Zr"], "frac_coords": [[0.250, 0.250, 0.250], [0.750, 0.750, 0.750], [0.026, 0.026, 0.974], [0.474, 0.474, 0.526]]}